{
  "formula": "ErSF",
  "functional": "PBE",
  "state": "optimized geometry",
  "dft_energy_ev_per_cell": -38.949,
  "rho_g_cm3": 6.450,
  "sg": "R-3m, No. 166",
  "magmom_total_mub_per_cell": 0.0,
  "cell": [[1.988, 1.148, 8.212], [-1.988, 1.148, 8.212], [0.000, -2.295, 8.212]],
  "species": ["Er", "Er", "S", "S", "F", "F"],
  "fractional_positions": [[0.000, 0.000, 0.000], [0.500, 0.500, 0.500], [0.109, 0.109, 0.109], [0.891, 0.891, 0.891], [0.333, 0.333, 0.333], [0.667, 0.667, 0.667]]
}